(1)
VASP calculation (PBE-GGA) on a relaxed Sm6ThTe12 crystal.

Geometry as extended XYZ:
```
19
Lattice="-4.929 0.065 -7.569 -4.502 -6.314 4.632 -3.324 7.394 3.982" Properties=species:S:1:pos:R:3 pbc="T T T"
Sm -8.461 -2.702 0.259
Sm -5.016 -0.926 -2.800
Sm -4.595 -1.673 3.153
Sm -4.294 3.847 0.787
Sm -7.739 2.071 3.845
Sm -8.160 2.819 -2.107
Th 0.000 0.000 0.000
Te -8.060 -0.403 -1.840
Te -7.721 -0.903 2.842
Te -7.494 3.396 0.905
Te -4.695 1.548 2.885
Te -5.034 2.048 -1.797
Te -5.261 -2.251 0.140
Te -5.820 -3.614 5.269
Te -6.242 2.672 6.518
Te -7.565 -5.568 -0.594
Te -6.935 4.759 -4.224
Te -6.513 -1.526 -5.473
Te -5.190 6.714 1.639
```

Total moment = 0.00 μB/cell
Theoretical density = 6.29 Mg/m³
E_tot = -96.231 eV for the cell shown
Space group = R-3 (148)

(2)
VASP calculation (PBE-GGA) on a relaxed V2SiS crystal.

Geometry as extended XYZ:
```
4
Lattice="-2.740 -0.505 3.147 -0.872 3.214 2.563 -3.763 1.862 -0.171" Properties=species:S:1:pos:R:3 pbc="T T T"
S -3.688 2.286 2.769
Si 0.000 0.000 0.000
V -1.844 1.143 1.385
V -5.531 3.429 4.154
```

Total moment = 0.00 μB/cell
Theoretical density = 5.13 Mg/m³
E_tot = -28.502 eV for the cell shown
Space group = Fm-3m (225)

Formation energy (no corrections) in eV/atom, matching the order above: -1.200, -0.179